# CrP2O8

CrP2O8 after structural relaxation (PBE with a Hubbard U, the Alexandria database).

```
CrP2O8
1.0
2.489 4.560 0.084
-2.489 4.560 0.084
0.000 3.743 13.318
Cr P O
2 4 16
Cartesian
0.000 0.000 0.000
0.000 1.871 6.659
-0.166 7.990 8.233
0.166 6.118 1.574
-0.166 6.745 11.913
0.166 4.873 5.254
-1.441 7.124 8.187
-0.944 5.504 0.744
-0.292 6.194 3.146
-0.459 9.453 7.966
0.459 7.581 1.307
0.292 8.066 9.805
0.944 7.376 7.403
-1.441 7.611 11.960
1.441 5.253 1.528
-0.944 5.488 6.084
-0.292 4.797 3.682
-0.459 5.282 12.180
0.459 3.411 5.521
0.292 6.669 10.341
0.944 7.359 12.744
1.441 5.739 5.300
```

Calculated values
Spin magnetization ... 0.18 μB/atom
Final energy ... -6.956 eV/atom
Density of states at the Fermi level ... 2.30 states/eV/f.u.
ρ ... 2.67 g/cm3